[1]
Below is crystalline CeTiTlPb at its relaxed geometry, with properties calculated at the PBE level.

The structure belongs to space group F-43m (No. 216); the cell edges are 7.421, 7.421 and 7.421 Å and the angles 90.00°, 90.00° and 90.00°. The asymmetric unit holds Ce at (0.000, 0.000, 0.000), Ti at (0.000, 0.000, 0.500), Tl at (0.250, 0.250, 0.250) and Pb at (0.250, 0.250, 0.750).

Its energy relative to the elements is -0.26 eV per formula unit. The calculation puts the total magnetic moment at 3.17 μB/f.u.



[2]
Below is crystalline Ce4Tl3Pb at its relaxed geometry, with properties calculated at the PBE level.

The structure belongs to space group C2/m (No. 12); the cell edges are 14.092, 4.510 and 7.598 Å and the angles 90.00°, 90.07° and 90.00°. The asymmetric unit holds Ce at (0.153, 0.000, 0.177), Ce at (0.153, 0.000, 0.823), Tl at (0.000, 0.500, 0.000), Tl at (0.169, 0.500, 0.500) and Pb at (0.000, 0.000, 0.500).

Its energy relative to the elements is -0.35 eV per formula unit. The calculation puts the offset from the most stable computed form at 218 meV/atom. The calculation puts the total magnetic moment at 3.84 μB/f.u.



[3]
Below is crystalline Ce6Tl2Pb at its relaxed geometry, with properties calculated at the PBE level.

The structure belongs to space group P6/mmm (No. 191); the cell edges are 9.1761, 9.1761 and 3.2383 Å and the angles 90.00°, 90.00° and 120.00°. The asymmetric unit holds Ce at (0.0000, 0.3367, 0.0000), Tl at (0.3333, 0.6667, 0.5000) and Pb at (0.0000, 0.0000, 0.5000).

Its energy relative to the elements is -1.08 eV per formula unit. The calculation puts the offset from the most stable computed form at 0 meV/atom. The calculation puts the total magnetic moment at 5.23 μB/f.u.



[4]
Below is crystalline Ce2TlPb3 at its relaxed geometry, with properties calculated at the PBE level.

The structure belongs to space group Cmmm (No. 65); the cell edges are 4.630, 15.675 and 4.863 Å and the angles 90.00°, 90.00° and 90.00°. The asymmetric unit holds Ce at (0.000, 0.150, 0.000), Tl at (0.000, 0.000, 0.500), Pb at (0.000, 0.325, 0.500) and Pb at (0.000, 0.500, 0.000).

Its energy relative to the elements is -2.17 eV per formula unit. The calculation puts the offset from the most stable computed form at 0 meV/atom. The calculation puts the total magnetic moment at 1.84 μB/f.u.



[5]
Below is crystalline Ce6Tl4Pb7 at its relaxed geometry, with properties calculated at the PBE level.

The structure belongs to space group Im-3m (No. 229); the cell edges are 10.271, 10.271 and 10.271 Å and the angles 90.00°, 90.00° and 90.00°. The asymmetric unit holds Ce at (0.000, 0.000, 0.299), Tl at (0.250, 0.250, 0.250), Pb at (0.000, 0.000, 0.000) and Pb at (0.000, 0.250, 0.500).

Its energy relative to the elements is -1.27 eV per formula unit. The calculation puts the total magnetic moment at 5.81 μB/f.u.



[6]
Below is crystalline Ce4Tl2Pb at its relaxed geometry, with properties calculated at the PBE level.

The structure belongs to space group Cmmm (No. 65); the cell edges are 5.935, 18.312 and 3.740 Å and the angles 90.00°, 90.00° and 90.00°. The asymmetric unit holds Ce at (0.000, 0.169, 0.000), Ce at (0.000, 0.274, 0.500), Tl at (0.000, 0.422, 0.000) and Pb at (0.000, 0.000, 0.500).

Its energy relative to the elements is 0.01 eV per formula unit. The calculation puts the offset from the most stable computed form at 0 meV/atom. The calculation puts the total magnetic moment at 0.00 μB/f.u.



[7]
Below is crystalline Ce2TlPb2 at its relaxed geometry, with properties calculated at the PBE level.

The structure belongs to space group P4/mbm (No. 127); the cell edges are 8.316, 8.316 and 4.535 Å and the angles 90.00°, 90.00° and 90.00°. The asymmetric unit holds Ce at (0.174, 0.326, 0.000), Tl at (0.000, 0.000, 0.500) and Pb at (0.130, 0.630, 0.500).

Its energy relative to the elements is -1.40 eV per formula unit. The calculation puts the total magnetic moment at 1.93 μB/f.u.



[8]
Below is crystalline Ce4TlPb2 at its relaxed geometry, with properties calculated at the PBE level.

The structure belongs to space group I4/mmm (No. 139); the cell edges are 6.110, 6.110 and 12.204 Å and the angles 90.00°, 90.00° and 90.00°. The asymmetric unit holds Ce at (0.000, 0.500, 0.000), Ce at (0.000, 0.500, 0.250), Tl at (0.000, 0.000, 0.000) and Pb at (0.000, 0.000, 0.368).

Its energy relative to the elements is -0.02 eV per formula unit. The calculation puts the total magnetic moment at 6.00 μB/f.u.



Number 1: electronic total energy -80.6 eV for the cell shown. Number 2: electronic total energy -69.8 eV for the cell shown. Number 3: electronic total energy -45.1 eV for the cell shown. Number 4: electronic total energy -55.1 eV for the cell shown. Number 5: electronic total energy -144.6 eV for the cell shown. Number 6: electronic total energy -64.3 eV for the cell shown. Number 7: electronic total energy -46.1 eV for the cell shown. Number 8: electronic total energy -67.1 eV for the cell shown.